# 1
{
  "formula": "PtC2Cl",
  "functional": "SCAN",
  "state": "single point on PBEsol structure",
  "spacegroup": "Fm-3m (225)",
  "e_form_raw_mev_per_atom": 2886,
  "cell": [[-0.113, 0.693, -3.924], [2.467, -1.960, -2.442], [-1.435, -2.777, -2.474]],
  "species": ["Cl", "Pt", "C", "C"],
  "frac_coords": [[0.000, 0.000, 0.000], [0.500, 0.500, 0.500], [0.250, 0.250, 0.250], [0.750, 0.750, 0.750]]
}


# 2
{
  "formula": "Pr3Tm",
  "functional": "SCAN",
  "state": "single point on PBEsol structure",
  "spacegroup": "P6_3/mmc (194)",
  "formation_energy_mev_per_atom": 29,
  "cell": [[5.801, 0.000, 0.000], [0.000, 7.216, 0.000], [0.000, -3.608, 6.249]],
  "species": ["Pr", "Pr", "Pr", "Pr", "Pr", "Pr", "Tm", "Tm"],
  "frac_coords": [[0.250, 0.168, 0.832], [0.250, 0.664, 0.832], [0.750, 0.336, 0.168], [0.250, 0.168, 0.336], [0.750, 0.832, 0.664], [0.750, 0.832, 0.168], [0.750, 0.333, 0.667], [0.250, 0.667, 0.333]]
}


# 3
{
  "formula": "Li2SnPb2",
  "functional": "SCAN",
  "state": "single point on PBEsol structure",
  "spacegroup": "P4/mbm (127)",
  "formation_energy_mev_per_atom": -243,
  "cell": [[3.337, 0.000, 0.000], [0.000, 8.390, 0.000], [0.000, 0.000, 8.390]],
  "species": ["Sn", "Sn", "Pb", "Pb", "Pb", "Pb", "Li", "Li", "Li", "Li"],
  "frac_coords": [[0.000, 0.000, 0.000], [0.000, 0.500, 0.500], [0.000, 0.368, 0.868], [0.000, 0.632, 0.132], [0.000, 0.132, 0.368], [0.000, 0.868, 0.632], [0.500, 0.831, 0.331], [0.500, 0.669, 0.831], [0.500, 0.331, 0.169], [0.500, 0.169, 0.669]]
}


# 4
{
  "formula": "ScTeCl2",
  "functional": "SCAN",
  "state": "single point on PBEsol structure",
  "spacegroup": "Cm (8)",
  "e_form_raw_mev_per_atom": -1659,
  "cell": [[-0.126, -3.179, 0.397], [4.433, 0.855, -4.693], [2.000, 0.705, 6.291]],
  "species": ["Cl", "Cl", "Sc", "Te"],
  "frac_coords": [[0.840, 0.680, 0.355], [0.001, 0.002, 0.081], [0.485, 0.971, 0.346], [0.174, 0.348, 0.718]]
}


# 5
{
  "formula": "TaB3Pt",
  "functional": "SCAN",
  "state": "single point on PBEsol structure",
  "spacegroup": "Pm-3m (221)",
  "formation_energy_mev_per_atom": 1798,
  "cell": [[-2.862, -2.213, 2.039], [-0.220, -2.653, -3.188], [3.001, -2.305, 1.711]],
  "species": ["B", "B", "B", "Pt", "Ta"],
  "frac_coords": [[0.000, 0.000, 0.500], [0.000, 0.500, 0.000], [0.500, 0.000, 0.000], [0.500, 0.500, 0.500], [0.000, 0.000, 0.000]]
}


# 6
{
  "formula": "Fe3W4",
  "functional": "SCAN",
  "state": "single point on PBEsol structure",
  "spacegroup": "P6/mmm (191)",
  "formation_energy_mev_per_atom": 138,
  "cell": [[4.707, 0.000, 0.000], [-2.354, 4.077, 0.000], [0.000, 0.000, 4.839]],
  "species": ["W", "W", "W", "W", "Fe", "Fe", "Fe"],
  "frac_coords": [[0.333, 0.667, 0.500], [0.667, 0.333, 0.500], [0.000, 0.000, 0.749], [0.000, 0.000, 0.251], [0.500, 0.500, 0.000], [0.000, 0.500, 0.000], [0.500, 0.000, 0.000]]
}